Record 1
Pm4NiGe2 PBE relaxed; SG = C2/m, No. 12; DOS at the Fermi energy = 6.764 states/eV/f.u.; energy above the most stable polymorph in this dataset = 0.00 kJ/mol of atoms
1.0
5.601 -2.234 0.000
5.601 2.234 0.000
-4.577 0.000 7.183
Pm Ni Ge
4 1 2
direct
0.082 0.082 0.364 Pm
0.318 0.318 0.926 Pm
0.682 0.682 0.074 Pm
0.918 0.918 0.636 Pm
0.000 0.000 0.000 Ni
0.367 0.367 0.351 Ge
0.633 0.633 0.649 Ge


Record 2
Si2PRu PBE relaxed; SG = Imm2, No. 44; DOS at the Fermi energy = 2.844 states/eV/f.u.; ΔE_f (raw) = 4.0 kcal/mol of atoms
1.0
-1.654 2.263 3.712
1.654 -2.263 3.712
1.654 2.263 -3.712
Si P Ru
2 1 1
direct
0.000 0.000 0.000 Si
0.760 0.260 0.500 Si
0.222 0.722 0.500 P
0.505 0.505 0.000 Ru


Record 3
TiReN3 PBE relaxed; SG = Fd-3m, No. 227; DOS at the Fermi energy = 2.692 states/eV/f.u.; ΔE_f (raw) = 4.1 kcal/mol of atoms
1.0
0.000 4.817 4.817
4.817 0.000 4.817
4.817 4.817 0.000
Ti Re N
4 4 12
direct
0.000 0.000 0.000 Ti
0.000 0.000 0.500 Ti
0.000 0.500 0.000 Ti
0.500 0.000 0.000 Ti
0.000 0.500 0.500 Re
0.500 0.000 0.500 Re
0.500 0.500 0.000 Re
0.500 0.500 0.500 Re
0.132 0.132 0.618 N
0.132 0.618 0.132 N
0.132 0.618 0.618 N
0.382 0.382 0.868 N
0.382 0.868 0.382 N
0.382 0.868 0.868 N
0.618 0.132 0.132 N
0.618 0.132 0.618 N
0.618 0.618 0.132 N
0.868 0.382 0.382 N
0.868 0.382 0.868 N
0.868 0.868 0.382 N


Record 4
Cd4SbPd2 PBE relaxed; SG = R-3m, No. 166; DOS at the Fermi energy = 2.606 states/eV/f.u.; ΔE_f (raw) = -4.2 kcal/mol of atoms
1.0
2.263 1.307 9.147
-2.263 1.307 9.147
0.000 -2.614 9.147
Cd Sb Pd
4 1 2
direct
0.107 0.107 0.107 Cd
0.301 0.301 0.301 Cd
0.699 0.699 0.699 Cd
0.893 0.893 0.893 Cd
0.500 0.500 0.500 Sb
0.403 0.403 0.403 Pd
0.597 0.597 0.597 Pd


Record 5
CsAgIBr PBE relaxed; SG = Cm, No. 8; DOS at the Fermi energy = 0.000 states/eV/f.u.; ΔE_f (raw) = -20.8 kcal/mol of atoms
1.0
5.074 -3.293 0.000
5.074 3.293 0.000
-0.083 0.000 5.100
Cs Ag I Br
1 1 1 1
direct
0.000 0.000 0.000 Cs
0.434 0.434 0.494 Ag
0.708 0.708 0.490 I
0.346 0.346 0.989 Br


Record 6
LaTl3Pd PBE relaxed; SG = Pm-3m, No. 221; DOS at the Fermi energy = 5.862 states/eV/f.u.; energy above the most stable polymorph in this dataset = 98.99 kJ/mol of atoms
1.0
6.076 0.000 0.000
0.000 6.076 0.000
0.000 0.000 6.076
La Tl Pd
1 3 1
direct
0.000 0.000 0.000 La
0.000 0.000 0.500 Tl
0.000 0.500 0.000 Tl
0.500 0.000 0.000 Tl
0.500 0.500 0.500 Pd


Results for total magnetic moment: 0.00, 0.00, 0.00, 0.00, 0.00, 0.00 (in μB/cell, following the order of the records).
Results for calculated total energy: -5.419, -6.210, -8.885, -2.777, -2.635, -2.504 (in eV/atom, following the order of the records).